Density functional theory data (PBE with a Hubbard U) for an optimized crystal structure of Sr3CrGe2O8.

Results
volume: 201.1 Å³ per cell
electronic total energy: -92.6 eV/f.u.
symmetry: P-3m1, No. 164
magnetization: 4.00 μB per formula unit

```
Sr3CrGe2O8
1.0
-1.327 -1.483 -5.334
4.978 -1.607 2.247
-3.038 -6.014 2.428
O Sr Cr Ge
8 3 1 2
direct
0.667 0.333 0.033
0.336 0.168 0.687
0.333 0.667 0.967
0.664 0.832 0.313
0.168 0.832 0.313
0.832 0.168 0.687
0.832 0.664 0.687
0.168 0.336 0.313
0.000 0.000 0.000
0.667 0.333 0.354
0.333 0.667 0.646
0.000 0.000 0.500
0.333 0.667 0.208
0.667 0.333 0.792
```